Entry w
Density functional theory data (GGA-PBE) for PmAlI after structural relaxation.

Unit cell a=4.3500 b=4.3500 c=12.5493 alpha=88.89 beta=88.89 gamma=60.00
Positions (direct):
Al 0.6661 0.6661 0.5143
Al 0.3339 0.3339 0.4857
I 0.3210 0.3210 0.8293
I 0.6790 0.6790 0.1707
Pm 0.9938 0.9938 0.6689
Pm 0.0062 0.0062 0.3311

Computed properties:
mass density	4.83	g/cm3
SG	C2/m, No. 12

***

Entry x
Density functional theory data (GGA-PBE) for PmAlI after structural relaxation.

Unit cell a=6.1394 b=7.6603 c=8.8472 alpha=149.99 beta=100.37 gamma=78.01
Positions (direct):
I 0.2413 0.3242 0.2502
I 0.7587 0.6758 0.7498
Pm 0.9233 0.0487 0.7502
Pm 0.0767 0.9513 0.2498
Al 0.3938 0.2414 0.7500
Al 0.6062 0.7586 0.2500

Computed properties:
mass density	4.88	g/cm3
SG	P2_1/m, No. 11

***

Of them, entry x has the lowest stability.